1.
Computed, not measured: crystalline KTl2ZnF6 at its relaxed geometry at the PBE level of DFT.

Cell and atoms, written as POSCAR:
```
KTl2ZnF6
1.0
-5.924 -0.220 0.760
0.824 -3.895 5.300
0.284 7.141 5.204
K Tl Zn F
2 4 2 12
Direct
0.500 0.000 0.000
0.000 0.500 0.500
0.013 0.957 0.269
0.513 0.543 0.769
0.987 0.043 0.731
0.487 0.457 0.231
0.500 0.000 0.500
0.000 0.500 0.000
0.296 0.655 0.025
0.796 0.845 0.525
0.704 0.345 0.975
0.204 0.155 0.475
0.337 0.755 0.396
0.837 0.745 0.896
0.663 0.245 0.604
0.163 0.255 0.104
0.876 0.598 0.211
0.376 0.902 0.711
0.124 0.402 0.789
0.624 0.098 0.289
```

density = 5.9 Mg/m³
energy = -78.6 eV per cell
symmetry = P2_1/c, No. 14

---

2.
Computed, not measured: crystalline KTl2ZnF8 at its relaxed geometry at the PBE level of DFT.

Cell and atoms, written as POSCAR:
```
KTl2ZnF8
1.0
-1.399 0.064 -4.656
4.688 -2.109 -1.584
-2.824 -6.842 0.757
K Tl Zn F
1 2 1 8
Direct
0.000 0.000 0.500
0.500 0.500 0.760
0.500 0.500 0.240
0.000 0.000 0.000
0.144 0.772 0.201
0.668 0.741 0.000
0.856 0.229 0.201
0.856 0.228 0.799
0.332 0.259 0.000
0.144 0.771 0.799
0.585 0.724 0.500
0.415 0.276 0.500
```

density = 5.7 Mg/m³
energy = -46.9 eV per cell
symmetry = P2/m, No. 10

---

3.
Computed, not measured: crystalline K2Tl2ZnF6 at its relaxed geometry at the PBE level of DFT.

Cell and atoms, written as POSCAR:
```
K2Tl2ZnF6
1.0
6.362 0.099 0.195
-3.058 5.579 0.195
-1.045 -1.796 6.133
K Tl Zn F
2 2 1 6
Direct
0.343 0.657 0.500
0.657 0.343 0.500
0.831 0.169 0.000
0.169 0.831 0.000
0.000 0.000 0.500
0.807 0.807 0.727
0.047 0.321 0.679
0.193 0.193 0.273
0.321 0.047 0.679
0.953 0.679 0.321
0.679 0.953 0.321
```

density = 4.9 Mg/m³
energy = -44.3 eV per cell
symmetry = C2/m, No. 12

---

4.
Computed, not measured: crystalline KTlZn2F8 at its relaxed geometry at the PBE level of DFT.

Cell and atoms, written as POSCAR:
```
KTlZn2F8
1.0
-1.283 -0.456 4.977
4.608 -1.642 1.748
2.547 6.600 2.156
K Tl Zn F
1 1 2 8
Direct
0.000 0.000 0.500
0.000 0.000 0.000
0.461 0.460 0.717
0.539 0.540 0.283
0.204 0.754 0.222
0.710 0.727 0.052
0.767 0.217 0.218
0.796 0.246 0.778
0.290 0.273 0.948
0.233 0.783 0.782
0.657 0.671 0.500
0.343 0.329 0.500
```

density = 4.5 Mg/m³
energy = -47.6 eV per cell
symmetry = P-1, No. 2

---

5.
Computed, not measured: crystalline K3TlZn2F8 at its relaxed geometry at the PBE level of DFT.

Cell and atoms, written as POSCAR:
```
K3TlZn2F8
1.0
-4.769 2.889 -3.025
-1.236 -4.152 4.634
0.197 6.137 5.552
K Tl Zn F
3 1 2 8
Direct
0.333 0.667 0.663
0.667 0.333 0.337
0.000 0.000 0.000
0.000 0.000 0.500
0.333 0.667 0.182
0.667 0.333 0.818
0.333 0.667 0.955
0.667 0.333 0.045
0.173 0.827 0.279
0.827 0.173 0.721
0.173 0.346 0.279
0.827 0.654 0.721
0.654 0.827 0.279
0.346 0.173 0.721
```

density = 3.5 Mg/m³
energy = -56.6 eV per cell
symmetry = P-3m1, No. 164

---

6.
Computed, not measured: crystalline KTl3Zn2F8 at its relaxed geometry at the PBE level of DFT.

Cell and atoms, written as POSCAR:
```
KTl3Zn2F8
1.0
6.333 0.000 0.000
-3.166 5.484 0.000
0.000 0.000 8.232
K Tl Zn F
1 3 2 8
Direct
0.000 0.000 0.500
0.333 0.667 0.670
0.667 0.333 0.330
0.000 0.000 0.000
0.333 0.667 0.194
0.667 0.333 0.806
0.333 0.667 0.960
0.667 0.333 0.040
0.169 0.831 0.278
0.831 0.169 0.722
0.169 0.339 0.278
0.831 0.661 0.722
0.661 0.831 0.278
0.339 0.169 0.722
```

density = 5.4 Mg/m³
energy = -55.6 eV per cell
symmetry = P-3m1, No. 164

---

7.
Computed, not measured: crystalline KTm4F12 at its relaxed geometry at the PBE level of DFT.

Cell and atoms, written as POSCAR:
```
KTm4F12
1.0
7.070 -0.021 -2.524
-3.534 6.129 -2.509
0.023 0.021 7.507
K Tm F
1 4 12
Direct
0.000 0.500 0.500
0.500 0.000 0.000
0.000 0.500 0.000
0.000 0.000 0.500
0.500 0.500 0.500
0.239 0.738 0.977
0.000 0.738 0.262
0.476 0.738 0.738
0.238 0.976 0.738
0.762 0.500 0.738
0.239 0.262 0.500
0.761 0.738 0.500
0.762 0.024 0.262
0.238 0.500 0.262
0.524 0.262 0.262
0.000 0.262 0.738
0.761 0.262 0.023
```

density = 4.8 Mg/m³
energy = -107.3 eV per cell
symmetry = Im-3m, No. 229

---

8.
Computed, not measured: crystalline K2TmF5 at its relaxed geometry at the PBE level of DFT.

Cell and atoms, written as POSCAR:
```
K2TmF5
1.0
-2.588 -5.833 -1.902
0.407 -2.397 6.797
-10.061 3.827 1.952
K Tm F
8 4 20
Direct
0.534 0.497 0.829
0.466 0.503 0.171
0.034 0.503 0.671
0.466 0.997 0.171
0.966 0.497 0.329
0.534 0.003 0.829
0.966 0.003 0.329
0.034 0.997 0.671
0.562 0.750 0.503
0.438 0.250 0.497
0.062 0.250 0.997
0.938 0.750 0.003
0.842 0.750 0.812
0.158 0.250 0.188
0.342 0.250 0.688
0.658 0.750 0.312
0.377 0.750 0.665
0.623 0.250 0.335
0.877 0.250 0.835
0.123 0.750 0.165
0.887 0.750 0.514
0.113 0.250 0.486
0.387 0.250 0.986
0.613 0.750 0.014
0.646 0.036 0.573
0.354 0.964 0.427
0.146 0.964 0.927
0.354 0.536 0.427
0.854 0.036 0.073
0.646 0.464 0.573
0.854 0.464 0.073
0.146 0.536 0.927
```

density = 4.3 Mg/m³
energy = -177.1 eV per cell
symmetry = Pnma, No. 62

---

9.
Computed, not measured: crystalline K2TmF4 at its relaxed geometry at the PBE level of DFT.

Cell and atoms, written as POSCAR:
```
K2TmF4
1.0
-3.076 0.160 2.987
-2.466 -2.559 -2.404
1.042 -8.954 4.633
K Tm F
2 1 4
Direct
0.657 0.657 0.686
0.343 0.343 0.314
0.000 0.000 0.000
0.891 0.891 0.218
0.109 0.109 0.782
0.000 0.500 0.000
0.500 0.000 0.000
```

density = 3.0 Mg/m³
energy = -36.0 eV per cell
symmetry = I4/mmm, No. 139

---

10.
Computed, not measured: crystalline K2TmZnF6 at its relaxed geometry at the PBE level of DFT.

Cell and atoms, written as POSCAR:
```
K2TmZnF6
1.0
-2.270 4.578 3.739
-3.928 1.851 -4.652
-6.264 -5.605 3.059
K Tm Zn F
4 2 2 12
Direct
0.500 0.766 0.248
0.000 0.234 0.748
0.500 0.766 0.752
0.000 0.234 0.252
0.500 0.246 0.500
0.000 0.754 0.000
0.000 0.745 0.500
0.500 0.255 0.000
0.500 0.227 0.261
0.500 0.227 0.739
0.000 0.773 0.239
0.000 0.773 0.761
0.259 0.009 0.500
0.741 0.009 0.500
0.262 0.483 0.500
0.738 0.483 0.500
0.762 0.517 0.000
0.238 0.517 0.000
0.241 0.991 0.000
0.759 0.991 0.000
```

density = 3.9 Mg/m³
energy = -97.3 eV per cell
symmetry = Pmmn, No. 59

---

11.
Computed, not measured: crystalline K2TmZn3F12 at its relaxed geometry at the PBE level of DFT.

Cell and atoms, written as POSCAR:
```
K2TmZn3F12
1.0
7.592 0.125 0.089
3.858 6.540 0.089
3.858 2.246 6.143
K Tm Zn F
2 1 3 12
Direct
0.627 0.627 0.627
0.373 0.373 0.373
0.000 0.000 0.000
0.500 0.000 0.000
0.000 0.500 0.000
0.000 0.000 0.500
0.310 0.310 0.918
0.912 0.912 0.347
0.347 0.912 0.912
0.918 0.310 0.310
0.912 0.347 0.912
0.310 0.918 0.310
0.690 0.690 0.082
0.088 0.088 0.653
0.653 0.088 0.088
0.082 0.690 0.690
0.088 0.653 0.088
0.690 0.082 0.690
```

density = 3.7 Mg/m³
energy = -81.8 eV per cell
symmetry = R-3m, No. 166

---

12.
Computed, not measured: crystalline KTmZnF6 at its relaxed geometry at the PBE level of DFT.

Cell and atoms, written as POSCAR:
```
KTmZnF6
1.0
-7.054 1.889 3.394
-0.888 -7.196 2.159
6.577 3.771 2.019
K Tm Zn F
2 2 2 12
Direct
0.781 0.531 0.562
0.219 0.469 0.438
0.500 0.000 0.500
0.000 0.000 0.500
0.500 0.500 0.000
0.500 0.000 0.000
0.451 0.701 0.901
0.822 0.072 0.645
0.815 0.098 0.268
0.454 0.671 0.268
0.454 0.098 0.268
0.815 0.671 0.268
0.549 0.299 0.099
0.178 0.928 0.355
0.185 0.902 0.732
0.546 0.329 0.732
0.546 0.902 0.732
0.185 0.329 0.732
```

density = 3.8 Mg/m³
energy = -94.2 eV per cell
symmetry = Imma, No. 74

---

13.
Computed, not measured: crystalline K2UF6 at its relaxed geometry at the PBE level of DFT.

Cell and atoms, written as POSCAR:
```
K2UF6
1.0
6.605 0.000 -0.826
0.000 8.033 0.000
-2.136 0.000 7.256
K U F
4 2 12
Direct
0.849 0.480 0.682
0.651 0.980 0.818
0.349 0.020 0.182
0.151 0.520 0.318
0.500 0.500 0.000
0.000 0.000 0.500
0.756 0.981 0.202
0.834 0.806 0.589
0.728 0.662 0.934
0.772 0.162 0.566
0.666 0.306 0.911
0.744 0.481 0.298
0.244 0.019 0.798
0.166 0.194 0.411
0.272 0.338 0.066
0.228 0.838 0.434
0.334 0.694 0.089
0.256 0.519 0.702
```

density = 3.9 Mg/m³
energy = -108.9 eV per cell
symmetry = P2_1/c, No. 14

---

14.
Computed, not measured: crystalline K2UF6 at its relaxed geometry at the PBE level of DFT.

Cell and atoms, written as POSCAR:
```
K2UF6
1.0
-6.285 -3.311 1.657
2.209 0.533 -6.932
2.129 -6.971 -1.015
K U F
4 2 12
Direct
0.091 0.909 0.750
0.757 0.243 0.750
0.909 0.091 0.250
0.243 0.757 0.250
0.421 0.579 0.750
0.579 0.421 0.250
0.744 0.894 0.630
0.256 0.106 0.370
0.179 0.621 0.624
0.337 0.475 0.111
0.525 0.663 0.389
0.475 0.337 0.611
0.663 0.525 0.889
0.621 0.179 0.124
0.821 0.379 0.376
0.106 0.256 0.870
0.894 0.744 0.130
0.379 0.821 0.876
```

density = 4.4 Mg/m³
energy = -109.5 eV per cell
symmetry = C2/c, No. 15

---

15.
Computed, not measured: crystalline K2UF6 at its relaxed geometry at the PBE level of DFT.

Cell and atoms, written as POSCAR:
```
K2UF6
1.0
5.757 0.000 0.000
0.000 5.757 0.000
0.000 0.000 11.844
K U F
4 2 12
Direct
0.500 0.500 0.336
0.500 0.500 0.664
0.000 0.000 0.164
0.000 0.000 0.836
0.500 0.500 0.000
0.000 0.000 0.500
0.678 0.678 0.139
0.678 0.678 0.861
0.730 0.730 0.500
0.770 0.230 0.000
0.822 0.178 0.361
0.822 0.178 0.639
0.178 0.822 0.361
0.178 0.822 0.639
0.230 0.770 0.000
0.270 0.270 0.500
0.322 0.322 0.139
0.322 0.322 0.861
```

density = 3.6 Mg/m³
energy = -109.4 eV per cell
symmetry = P4_2/mnm, No. 136

---

16.
Computed, not measured: crystalline K6UF12 at its relaxed geometry at the PBE level of DFT.

Cell and atoms, written as POSCAR:
```
K6UF12
1.0
-1.522 -5.872 4.690
0.029 -3.681 -6.725
7.551 0.662 1.153
K U F
6 1 12
Direct
0.642 0.845 0.401
0.599 0.358 0.155
0.155 0.599 0.358
0.358 0.155 0.599
0.401 0.642 0.845
0.845 0.401 0.642
0.000 0.000 0.000
0.832 0.603 0.401
0.401 0.832 0.603
0.603 0.401 0.832
0.168 0.397 0.599
0.599 0.168 0.397
0.397 0.599 0.168
0.094 0.972 0.260
0.028 0.740 0.906
0.740 0.906 0.028
0.906 0.028 0.740
0.972 0.260 0.094
0.260 0.094 0.972
```

density = 2.7 Mg/m³
energy = -95.4 eV per cell
symmetry = R-3, No. 148

---

17.
Computed, not measured: crystalline K2UF6 at its relaxed geometry at the PBE level of DFT.

Cell and atoms, written as POSCAR:
```
K2UF6
1.0
3.744 0.000 0.000
0.000 6.655 0.001
0.000 -3.328 5.765
K U F
2 1 6
Direct
0.500 0.667 0.333
0.500 0.333 0.667
0.000 0.000 0.000
0.500 0.000 0.226
0.500 0.226 0.000
0.500 0.774 0.774
0.000 0.341 0.341
0.000 0.659 0.000
0.000 0.000 0.659
```

density = 5.0 Mg/m³
energy = -54.5 eV per cell
symmetry = P-62m, No. 189

---

V values, unit Å³/atom, following the record order: 17.5; 16.2; 20.4; 16.2; 20.6; 20.4; 19.2; 16.4; 25.4; 18.0; 16.6; 18.9; 20.6; 17.8; 21.8; 22.6; 16.0.